a) Cr3RuF (PBE+U, optimized geometry); calculated density = 3945 kg/m3; SG = Pm-3m, No. 221; total moment = 12.67 μB per formula unit
1.0
4.880 0.000 0.000
0.000 4.880 0.000
0.000 0.000 4.880
Cr Ru F
3 1 1
Direct
0.000 0.000 0.500
0.000 0.500 0.000
0.500 0.000 0.000
0.000 0.000 0.000
0.500 0.500 0.500

=====

b) Cr3RuF (PBE+U, optimized geometry); calculated density = 5667 kg/m3; SG = Pm-3m, No. 221; total moment = 11.92 μB per formula unit
1.0
4.325 0.000 0.000
0.000 4.325 0.000
0.000 0.000 4.325
Cr Ru F
3 1 1
Direct
0.000 0.000 0.500
0.000 0.500 0.000
0.500 0.000 0.000
0.500 0.500 0.500
0.000 0.000 0.000

=====

Stability check: which of them is most stable? b).